(1)
{
  "formula": "TlInHg2Pb2",
  "functional": "GGA-PBE",
  "state": "relaxed",
  "lattice_angstrom": [[4.796, 0.000, 0.000], [0.000, 9.786, 0.000], [0.000, 0.000, 7.478]],
  "species": ["Tl", "Tl", "In", "In", "Hg", "Hg", "Hg", "Hg", "Pb", "Pb", "Pb", "Pb"],
  "frac_coords": [[0.000, 0.060, 0.000], [0.000, 0.940, 0.500], [0.500, 0.193, 0.683], [0.500, 0.807, 0.183], [0.000, 0.357, 0.815], [0.000, 0.643, 0.315], [0.500, 0.116, 0.275], [0.500, 0.884, 0.775], [0.000, 0.322, 0.383], [0.000, 0.678, 0.883], [0.500, 0.450, 0.082], [0.500, 0.550, 0.582]],
  "e_form_ev_per_atom": 0.0145,
  "final_energy_ev_per_atom": -2.1730
}


(2)
{
  "formula": "TlInHg4Pb",
  "functional": "GGA-PBE",
  "state": "relaxed",
  "lattice_angstrom": [[4.957, -7.717, 0.000], [4.957, 7.717, 0.000], [0.000, 0.000, 6.603]],
  "species": ["Tl", "Tl", "In", "In", "Hg", "Hg", "Hg", "Hg", "Hg", "Hg", "Hg", "Hg", "Pb", "Pb"],
  "frac_coords": [[0.098, 0.902, 0.750], [0.902, 0.098, 0.250], [0.148, 0.852, 0.250], [0.852, 0.148, 0.750], [0.196, 0.285, 0.750], [0.285, 0.196, 0.250], [0.301, 0.699, 0.517], [0.301, 0.699, 0.983], [0.699, 0.301, 0.017], [0.699, 0.301, 0.483], [0.715, 0.804, 0.750], [0.804, 0.715, 0.250], [0.500, 0.500, 0.000], [0.500, 0.500, 0.500]],
  "e_form_ev_per_atom": 0.1138,
  "final_energy_ev_per_atom": -1.3177
}